17
Lattice="7.132 0.000 0.000 -2.377 6.724 0.000 -2.377 -3.362 5.823" Properties=species:S:1:pos:R:3 comment="PBE-GGA Ho4Si6Os7, optimized geometry" final_energy_ev_per_fu=-139.07 sg="Im-3m, No. 229" raw_formation_energy_ev_per_atom=-0.566 m_tot_mub_per_atom=0.0000 pbc="T T T"
Ho 3.566 0.000 0.000
Ho 1.189 1.681 2.911
Ho -1.189 3.362 0.000
Ho -1.189 -1.681 2.911
Si 3.257 -2.303 3.989
Si 3.257 4.606 0.000
Si -1.497 1.059 1.834
Si 1.497 -1.059 1.834
Si 1.497 2.117 0.000
Si -3.257 2.303 3.989
Os 3.566 2.521 1.456
Os -1.189 3.362 2.911
Os 1.189 4.202 1.456
Os 3.566 0.000 2.911
Os -1.189 0.840 4.367
Os 1.189 -0.840 4.367
Os 0.000 0.000 0.000